Entry w
Material: KMnSi2
Method: DFT, PBEsol
State: relaxed

Geometry as extended XYZ:
```
4
Lattice="2.6033 0.0000 0.0000 1.3016 5.9233 0.0797 1.3016 2.7581 5.2425" Properties=species:S:1:pos:R:3 pbc="T T T"
Mn 1.3016 4.3407 2.6611
K 1.3016 0.0000 0.0000
Si 2.6033 2.6647 1.6336
Si 2.6033 6.0166 3.6886
```

Output
Space-group type: No. 71
ρ (g cm⁻³): 3.11


Entry x
Material: KMnSi2
Method: DFT, PBEsol
State: relaxed

Geometry as extended XYZ:
```
4
Lattice="-0.9101 2.5470 0.1079 -3.4929 -1.4195 4.0456 5.8066 0.5756 1.4356" Properties=species:S:1:pos:R:3 pbc="T T T"
Si 1.0001 1.7334 1.4717
K 3.5703 1.1283 3.4785
Mn 0.4499 -0.0156 4.1627
Si 1.3919 1.6994 5.5778
```

Output
Space-group type: No. 44
ρ (g cm⁻³): 3.23


Stability ranking, top and bottom: entry w is the most stable and entry x is the least stable.